A.
Here is crystalline VSeN2F at its relaxed geometry from Alexandria via LeMat-Bulk. Energies are from PBE with a Hubbard U.

abc: 3.935 3.935 3.815
angles: 90.00 90.00 90.00
Atoms (fractional coordinates):
N 0.500 0.000 0.000
N 0.000 0.500 0.000
V 0.000 0.000 0.000
Se 0.500 0.500 0.500
F 0.000 0.000 0.500

Values from the calculation:
space group	P4/mmm (123)

***

B.
Here is crystalline VSeN2F at its relaxed geometry from Alexandria via LeMat-Bulk. Energies are from PBE with a Hubbard U.

abc: 3.687 3.687 5.225
angles: 90.00 90.00 90.00
Atoms (fractional coordinates):
F 0.500 0.500 0.500
V 0.000 0.000 0.000
N 0.000 0.500 0.000
Se 0.000 0.000 0.500
N 0.500 0.000 0.000

Values from the calculation:
space group	P4/mmm (123)

***

It comes down to A, which is 197 meV/atom more stable than the next structure.